Compound: ZnReSe2Br
Source: the Alexandria database
Functional: PBEsol
Structure: optimized geometry

```
ZnReSe2Br
1.0
4.876 0.000 0.000
0.000 4.876 0.000
0.000 0.000 4.791
Zn Re Se Br
1 1 2 1
Direct
0.000 0.000 0.000 Zn
0.500 0.500 0.500 Re
0.000 0.500 0.000 Se
0.500 0.000 0.000 Se
0.000 0.000 0.500 Br
```

ΔE_f (raw) (eV per atom): 1.25
Symmetry: No. 123
Total DFT energy (no corrections) (eV per formula unit): -18.3
N(E_F) (states/eV/atom): 0.67
Spin magnetization (μB per formula unit): 4.24

Compound: Ta8VC4S8
Source: the Alexandria database
Functional: PBEsol
Structure: optimized geometry

```
Ta8VC4S8
1.0
3.271 1.888 8.469
-3.271 1.888 8.469
0.000 -3.777 8.469
Ta V C S
8 1 4 8
Direct
0.122 0.122 0.122 Ta
0.123 0.620 0.620 Ta
0.380 0.380 0.877 Ta
0.380 0.877 0.380 Ta
0.620 0.123 0.620 Ta
0.620 0.620 0.123 Ta
0.877 0.380 0.380 Ta
0.878 0.878 0.878 Ta
0.000 0.000 0.000 V
0.000 0.000 0.500 C
0.000 0.500 0.000 C
0.500 0.000 0.000 C
0.500 0.500 0.500 C
0.224 0.224 0.720 S
0.224 0.720 0.224 S
0.275 0.275 0.275 S
0.280 0.776 0.776 S
0.720 0.224 0.224 S
0.725 0.725 0.725 S
0.776 0.280 0.776 S
0.776 0.776 0.280 S
```

ΔE_f (raw) (eV per atom): -1.00
Symmetry: No. 166
Total DFT energy (no corrections) (eV per formula unit): -204.8
N(E_F) (states/eV/atom): 0.30
Spin magnetization (μB per formula unit): 2.25

Compound: Tc2HgSb
Source: the Alexandria database
Functional: PBEsol
Structure: optimized geometry

```
Tc2HgSb
1.0
-1.998 1.998 4.232
1.998 -1.998 4.232
1.998 1.998 -4.232
Tc Hg Sb
2 1 1
Direct
0.000 0.000 0.000 Tc
0.750 0.250 0.500 Tc
0.500 0.500 0.000 Hg
0.250 0.750 0.500 Sb
```

ΔE_f (raw) (eV per atom): 0.60
E above lowest polymorph (meV per atom): 148
Symmetry: No. 119
Total DFT energy (no corrections) (eV per formula unit): -25.2
N(E_F) (states/eV/atom): 1.10
Spin magnetization (μB per formula unit): 0.00

Compound: TaCuHg
Source: the Alexandria database
Functional: PBEsol
Structure: optimized geometry

```
TaCuHg
1.0
4.431 0.000 0.000
-2.215 3.837 0.000
0.000 0.000 2.861
Ta Cu Hg
1 1 1
Direct
0.000 0.000 0.000 Ta
0.333 0.667 0.500 Cu
0.667 0.333 0.500 Hg
```

Energy relative to the elements (eV/atom): 0.315
E above lowest polymorph (meV per atom): 15
Symmetry: No. 187
Total DFT energy (no corrections) (eV per formula unit): -16.5
N(E_F) (states/eV/atom): 0.81
Spin magnetization (μB per formula unit): 0.00

Compound: ZnS
Source: the Alexandria database
Functional: PBEsol
Structure: optimized geometry

```
ZnS
1.0
0.000 2.678 2.678
2.678 0.000 2.678
2.678 2.678 0.000
Zn S
1 1
Direct
0.000 0.000 0.000 Zn
0.750 0.750 0.750 S
```

ΔE_f (raw) (eV per atom): -0.81
Symmetry: No. 216
Total DFT energy (no corrections) (eV per formula unit): -7.6
N(E_F) (states/eV/atom): 0.00
Spin magnetization (μB per formula unit): 0.00

Compound: SrScSb3
Source: the Alexandria database
Functional: PBEsol
Structure: optimized geometry

```
SrScSb3
1.0
5.694 0.000 0.000
0.000 5.694 0.000
0.000 0.000 5.694
Sr Sc Sb
1 1 3
Direct
0.000 0.000 0.000 Sr
0.500 0.500 0.500 Sc
0.000 0.000 0.500 Sb
0.000 0.500 0.000 Sb
0.500 0.000 0.000 Sb
```

ΔE_f (raw) (eV per atom): 0.77
Symmetry: No. 221
Total DFT energy (no corrections) (eV per formula unit): -18.3
N(E_F) (states/eV/atom): 1.01
Spin magnetization (μB per formula unit): 0.02

Compound: KHgAsBr2
Source: the Alexandria database
Functional: PBEsol
Structure: optimized geometry

```
KHgAsBr2
1.0
5.788 0.000 0.000
0.000 5.788 0.000
0.000 0.000 5.113
K Hg As Br
1 1 1 2
Direct
0.000 0.000 0.000 K
0.500 0.500 0.500 Hg
0.500 0.500 0.000 As
0.000 0.500 0.500 Br
0.500 0.000 0.500 Br
```

ΔE_f (raw) (eV per atom): -0.30
Symmetry: No. 123
Total DFT energy (no corrections) (eV per formula unit): -12.1
N(E_F) (states/eV/atom): 0.38
Spin magnetization (μB per formula unit): 1.91

Compound: MnBe2Re2
Source: the Alexandria database
Functional: PBEsol
Structure: optimized geometry

```
MnBe2Re2
1.0
5.868 0.000 0.000
0.000 5.868 0.000
0.000 0.000 3.150
Mn Be Re
2 4 4
Direct
0.000 0.000 0.000 Mn
0.500 0.500 0.000 Mn
0.121 0.379 0.000 Be
0.379 0.879 0.000 Be
0.621 0.121 0.000 Be
0.879 0.621 0.000 Be
0.177 0.677 0.500 Re
0.323 0.177 0.500 Re
0.677 0.823 0.500 Re
0.823 0.323 0.500 Re
```

Energy relative to the elements (eV/atom): -0.168
Symmetry: No. 127
Total DFT energy (no corrections) (eV per formula unit): -45.3
N(E_F) (states/eV/atom): 0.40
Spin magnetization (μB per formula unit): 2.51